(1)
Entry from Alexandria: an optimized crystal structure of MnAs5 (PBE-GGA).

The structure in extended XYZ format:
```
6
Lattice="0.499 -0.208 7.343 -2.917 -1.989 -6.461 3.278 -3.741 -0.329" Properties=species:S:1:pos:R:3 pbc="T T T"
As -2.801 -1.928 -5.993
As -0.625 -0.794 2.801
As 0.255 -3.060 -0.429
As -1.614 -1.309 -1.195
As 1.175 -2.580 3.287
Mn -1.005 -3.717 -5.521
```

Output
symmetry	No. 38
total energy	-5.2370	eV per atom
total moment	3.0	μB/f.u.
relative energy among the computed polymorphs	100	meV per atom
energy of formation	0.166	eV/atom

---

(2)
Entry from Alexandria: an optimized crystal structure of Sc2TiTlB (PBE-GGA).

The structure in extended XYZ format:
```
5
Lattice="-1.466 4.371 0.449 -2.335 -0.374 -3.983 -3.562 -1.423 2.221" Properties=species:S:1:pos:R:3 pbc="T T T"
Sc -0.733 2.186 0.225
Sc -1.167 -0.187 -1.992
Tl -3.682 1.287 -0.656
B 0.000 0.000 0.000
Ti -1.781 -0.712 1.111
```

Output
symmetry	No. 123
total energy	-6.2530	eV per atom
total moment	0.0	μB/f.u.
energy of formation	-0.333	eV/atom

---

(3)
Entry from Alexandria: an optimized crystal structure of CaTc2IrRu (PBE-GGA).

The structure in extended XYZ format:
```
5
Lattice="4.468 0.000 0.000 0.000 4.477 0.000 0.000 0.000 4.468" Properties=species:S:1:pos:R:3 pbc="T T T"
Ir 2.234 2.239 2.234
Ru 0.000 2.239 0.000
Tc 2.234 0.000 0.000
Tc 0.000 0.000 2.234
Ca 0.000 0.000 0.000
```

Output
symmetry	No. 123
total energy	-5.5435	eV per atom
total moment	0.0	μB/f.u.
energy of formation	2.631	eV/atom